(1)
Below is a PBEsol-optimized structure of AlHgAu, with properties calculated at the meta-GGA SCAN level.

Cell: 6.3017 6.3017 6.3017 Å, 90.00 90.00 90.00°
Space group F-43m (No. 216)
One atom of each set of equivalent atoms:
Al: 0.0000 0.0000 0.0000 (multiplicity 4)
Hg: 0.2500 0.2500 0.7500 (multiplicity 4)
Au: 0.0000 0.0000 0.5000 (multiplicity 4)

Output
ρ = 11.3 g cm⁻³
total energy = -48.288 eV/atom
formation energy = 0.2 eV per formula unit
energy above the most stable polymorph in this dataset = 0.194 eV per atom

(2)
Below is a PBEsol-optimized structure of Al2HgAu, with properties calculated at the meta-GGA SCAN level.

Cell: 5.8996 7.7832 3.0635 Å, 90.00 90.00 90.00°
Space group Cmmm (No. 65)
One atom of each set of equivalent atoms:
Al: 0.2500 0.2500 0.0000 (multiplicity 4)
Hg: 0.0000 0.0000 0.5000 (multiplicity 2)
Au: 0.0000 0.5000 0.5000 (multiplicity 2)

Output
ρ = 10.7 g cm⁻³
total energy = -38.277 eV/atom
formation energy = -0.3 eV per formula unit
energy above the most stable polymorph in this dataset = 0.180 eV per atom